A relaxed structure of YTm3Pb2C. Source: Alexandria via LeMat-Bulk, functional PBE-GGA.

POSCAR file:
```
YTm3Pb2C
1.0
4.762 0.000 0.000
0.000 4.815 0.000
0.000 0.000 15.899
Y Tm Pb C
2 6 4 2
Direct
0.000 0.000 0.000 Y
0.500 0.500 0.500 Y
0.000 0.000 0.500 Tm
0.000 0.500 0.156 Tm
0.000 0.500 0.844 Tm
0.500 0.000 0.344 Tm
0.500 0.000 0.656 Tm
0.500 0.500 0.000 Tm
0.000 0.500 0.356 Pb
0.000 0.500 0.644 Pb
0.500 0.000 0.144 Pb
0.500 0.000 0.856 Pb
0.000 0.500 0.000 C
0.500 0.000 0.500 C
```

## Properties
D(E_F) in states/eV/f.u.: 0.80
ΔE_f in meV/atom: -545

=====

A relaxed structure of SmGa3Pd4. Source: Alexandria via LeMat-Bulk, functional PBE-GGA.

POSCAR file:
```
SmGa3Pd4
1.0
4.166 0.000 0.000
0.000 4.166 0.000
0.000 0.000 8.358
Sm Ga Pd
1 3 4
Direct
0.000 0.000 0.000 Sm
0.000 0.000 0.500 Ga
0.500 0.500 0.152 Ga
0.500 0.500 0.848 Ga
0.000 0.500 0.321 Pd
0.000 0.500 0.679 Pd
0.500 0.000 0.321 Pd
0.500 0.000 0.679 Pd
```

## Properties
D(E_F) in states/eV/f.u.: 5.97
ΔE_f in meV/atom: -685

=====

A relaxed structure of NiAs2. Source: Alexandria via LeMat-Bulk, functional PBE-GGA.

POSCAR file:
```
NiAs2
1.0
4.549 0.000 0.000
-2.275 3.940 0.000
0.000 0.000 5.556
Ni As
2 4
Direct
0.000 0.000 0.250 Ni
0.000 0.000 0.750 Ni
0.333 0.667 0.026 As
0.333 0.667 0.474 As
0.667 0.333 0.526 As
0.667 0.333 0.974 As
```

## Properties
D(E_F) in states/eV/f.u.: 2.19
ΔE_f in meV/atom: 426

=====

A relaxed structure of UPa4Ga. Source: Alexandria via LeMat-Bulk, functional PBE-GGA.

POSCAR file:
```
UPa4Ga
1.0
4.081 -6.411 0.000
4.081 6.411 0.000
-1.850 0.000 5.429
U Pa Ga
2 8 2
Direct
0.007 0.993 0.750 U
0.993 0.007 0.250 U
0.081 0.707 0.949 Pa
0.208 0.408 0.661 Pa
0.293 0.919 0.551 Pa
0.408 0.208 0.161 Pa
0.592 0.792 0.839 Pa
0.707 0.081 0.449 Pa
0.792 0.592 0.339 Pa
0.919 0.293 0.051 Pa
0.389 0.611 0.250 Ga
0.611 0.389 0.750 Ga
```

## Properties
D(E_F) in states/eV/f.u.: 13.92
ΔE_f in meV/atom: 25

=====

A relaxed structure of HgP. Source: Alexandria via LeMat-Bulk, functional PBE-GGA.

POSCAR file:
```
HgP
1.0
8.339 0.000 0.000
-4.170 7.222 0.000
0.000 0.000 5.168
Hg P
6 6
Direct
0.132 0.723 0.250 Hg
0.277 0.409 0.250 Hg
0.409 0.132 0.750 Hg
0.591 0.868 0.250 Hg
0.723 0.591 0.750 Hg
0.868 0.277 0.750 Hg
0.044 0.633 0.750 P
0.367 0.411 0.750 P
0.411 0.044 0.250 P
0.589 0.956 0.750 P
0.633 0.589 0.250 P
0.956 0.367 0.250 P
```

## Properties
D(E_F) in states/eV/f.u.: 0.13
Polymorph energy (0 for the lowest one) in meV/atom: 419.5
ΔE_f in meV/atom: 449

=====

A relaxed structure of CrCu2Rh3. Source: Alexandria via LeMat-Bulk, functional PBE-GGA.

POSCAR file:
```
CrCu2Rh3
1.0
1.933 -5.811 0.000
1.933 5.811 0.000
0.000 0.000 7.086
Cr Cu Rh
2 4 6
Direct
0.163 0.837 0.000 Cr
0.837 0.163 0.000 Cr
0.170 0.830 0.500 Cu
0.500 0.500 0.000 Cu
0.500 0.500 0.500 Cu
0.830 0.170 0.500 Cu
0.000 0.000 0.247 Rh
0.000 0.000 0.753 Rh
0.332 0.668 0.238 Rh
0.332 0.668 0.762 Rh
0.668 0.332 0.238 Rh
0.668 0.332 0.762 Rh
```

## Properties
D(E_F) in states/eV/f.u.: 5.60
ΔE_f in meV/atom: -2

=====

A relaxed structure of Ca3Sn5Cl12. Source: Alexandria via LeMat-Bulk, functional PBE-GGA.

POSCAR file:
```
Ca3Sn5Cl12
1.0
-9.190 9.190 9.190
9.190 -9.190 9.190
9.190 9.190 -9.190
Ca Sn Cl
12 20 48
Direct
0.125 0.250 0.375 Ca
0.125 0.375 0.750 Ca
0.250 0.375 0.125 Ca
0.250 0.875 0.625 Ca
0.375 0.125 0.250 Ca
0.375 0.750 0.125 Ca
0.625 0.250 0.875 Ca
0.625 0.875 0.750 Ca
0.750 0.125 0.375 Ca
0.750 0.625 0.875 Ca
0.875 0.625 0.250 Ca
0.875 0.750 0.625 Ca
0.000 0.000 0.000 Sn
0.000 0.000 0.500 Sn
0.000 0.500 0.000 Sn
0.000 0.500 0.500 Sn
0.125 0.750 0.875 Sn
0.125 0.875 0.250 Sn
0.250 0.125 0.875 Sn
0.250 0.625 0.375 Sn
0.375 0.250 0.625 Sn
0.375 0.625 0.750 Sn
0.500 0.000 0.000 Sn
0.500 0.000 0.500 Sn
0.500 0.500 0.000 Sn
0.500 0.500 0.500 Sn
0.625 0.375 0.250 Sn
0.625 0.750 0.375 Sn
0.750 0.375 0.625 Sn
0.750 0.875 0.125 Sn
0.875 0.125 0.750 Sn
0.875 0.250 0.125 Sn
0.017 0.172 0.654 Cl
0.017 0.345 0.363 Cl
0.018 0.155 0.172 Cl
0.018 0.363 0.846 Cl
0.137 0.155 0.483 Cl
0.137 0.482 0.654 Cl
0.154 0.672 0.517 Cl
0.154 0.982 0.637 Cl
0.155 0.172 0.018 Cl
0.155 0.483 0.137 Cl
0.172 0.018 0.155 Cl
0.172 0.654 0.017 Cl
0.328 0.345 0.482 Cl
0.328 0.483 0.846 Cl
0.345 0.363 0.017 Cl
0.345 0.482 0.328 Cl
0.346 0.863 0.518 Cl
0.346 0.983 0.828 Cl
0.363 0.017 0.345 Cl
0.363 0.846 0.018 Cl
0.482 0.328 0.345 Cl
0.482 0.654 0.137 Cl
0.483 0.137 0.155 Cl
0.483 0.846 0.328 Cl
0.517 0.154 0.672 Cl
0.517 0.863 0.845 Cl
0.518 0.346 0.863 Cl
0.518 0.672 0.655 Cl
0.637 0.154 0.982 Cl
0.637 0.983 0.655 Cl
0.654 0.017 0.172 Cl
0.654 0.137 0.482 Cl
0.655 0.518 0.672 Cl
0.655 0.637 0.983 Cl
0.672 0.517 0.154 Cl
0.672 0.655 0.518 Cl
0.828 0.346 0.983 Cl
0.828 0.982 0.845 Cl
0.845 0.517 0.863 Cl
0.845 0.828 0.982 Cl
0.846 0.018 0.363 Cl
0.846 0.328 0.483 Cl
0.863 0.518 0.346 Cl
0.863 0.845 0.517 Cl
0.982 0.637 0.154 Cl
0.982 0.845 0.828 Cl
0.983 0.655 0.637 Cl
0.983 0.828 0.346 Cl
```

## Properties
Energy relative to the elements, uncorrected in eV per atom: -1.11
D(E_F) in states/eV/f.u.: 11.80

=====

A relaxed structure of Dy2ZnPt3. Source: Alexandria via LeMat-Bulk, functional PBE-GGA.

POSCAR file:
```
Dy2ZnPt3
1.0
5.553 0.000 0.000
-2.776 4.809 0.000
0.000 0.000 8.388
Dy Zn Pt
4 2 6
Direct
0.333 0.667 0.058 Dy
0.333 0.667 0.442 Dy
0.667 0.333 0.558 Dy
0.667 0.333 0.942 Dy
0.000 0.000 0.000 Zn
0.000 0.000 0.500 Zn
0.168 0.336 0.750 Pt
0.168 0.832 0.750 Pt
0.336 0.168 0.250 Pt
0.664 0.832 0.750 Pt
0.832 0.168 0.250 Pt
0.832 0.664 0.250 Pt
```

## Properties
D(E_F) in states/eV/f.u.: 2.57
Polymorph energy (0 for the lowest one) in meV/atom: 0.0
ΔE_f in meV/atom: -1061

=====

A relaxed structure of LiZn6Cd6. Source: Alexandria via LeMat-Bulk, functional PBE-GGA.

POSCAR file:
```
LiZn6Cd6
1.0
-2.618 4.628 5.101
2.618 -4.628 5.101
2.618 4.628 -5.101
Li Zn Cd
1 6 6
Direct
0.000 0.000 0.000 Li
0.000 0.000 0.500 Zn
0.000 0.500 0.000 Zn
0.235 0.735 0.500 Zn
0.500 0.000 0.000 Zn
0.500 0.500 0.500 Zn
0.765 0.265 0.500 Zn
0.167 0.500 0.667 Cd
0.334 0.000 0.334 Cd
0.350 0.350 0.000 Cd
0.650 0.650 0.000 Cd
0.666 0.000 0.666 Cd
0.833 0.500 0.333 Cd
```

## Properties
D(E_F) in states/eV/f.u.: 2.41
ΔE_f in meV/atom: -17

=====

A relaxed structure of NaCdInBr6. Source: Alexandria via LeMat-Bulk, functional PBE-GGA.

POSCAR file:
```
NaCdInBr6
1.0
7.067 0.000 0.000
-3.533 6.120 0.000
0.000 0.000 6.672
Na Cd In Br
1 1 1 6
Direct
0.000 0.000 0.000 Na
0.333 0.667 0.500 Cd
0.667 0.333 0.500 In
0.362 0.009 0.736 Br
0.362 0.353 0.264 Br
0.647 0.009 0.264 Br
0.647 0.638 0.736 Br
0.991 0.353 0.736 Br
0.991 0.638 0.264 Br
```

## Properties
Energy relative to the elements, uncorrected in eV per atom: -0.98
D(E_F) in states/eV/f.u.: 0.00

=====

A relaxed structure of Sr2Mg12Cd3Hg. Source: Alexandria via LeMat-Bulk, functional PBE-GGA.

POSCAR file:
```
Sr2Mg12Cd3Hg
1.0
3.754 2.168 10.511
-3.754 2.168 10.511
0.000 -4.335 10.511
Sr Mg Cd Hg
2 12 3 1
Direct
0.146 0.146 0.146 Sr
0.854 0.854 0.854 Sr
0.085 0.085 0.691 Mg
0.085 0.691 0.085 Mg
0.137 0.581 0.581 Mg
0.309 0.915 0.915 Mg
0.419 0.419 0.863 Mg
0.419 0.863 0.419 Mg
0.581 0.137 0.581 Mg
0.581 0.581 0.137 Mg
0.691 0.085 0.085 Mg
0.863 0.419 0.419 Mg
0.915 0.309 0.915 Mg
0.915 0.915 0.309 Mg
0.000 0.500 0.500 Cd
0.500 0.000 0.500 Cd
0.500 0.500 0.000 Cd
0.500 0.500 0.500 Hg
```

## Properties
D(E_F) in states/eV/f.u.: 10.58
ΔE_f in meV/atom: 68

=====

A relaxed structure of MgVRh2Au. Source: Alexandria via LeMat-Bulk, functional PBE-GGA.

POSCAR file:
```
MgVRh2Au
1.0
4.487 0.000 0.000
0.000 4.487 0.000
0.000 0.000 4.587
Mg V Rh Au
1 1 2 1
Direct
0.000 0.000 0.000 Mg
0.500 0.500 0.500 V
0.000 0.500 0.000 Rh
0.500 0.000 0.000 Rh
0.000 0.000 0.500 Au
```

## Properties
D(E_F) in states/eV/f.u.: 12.61
ΔE_f in meV/atom: 1101

=====

A relaxed structure of LiEuScAl. Source: Alexandria via LeMat-Bulk, functional PBE-GGA.

POSCAR file:
```
LiEuScAl
1.0
7.264 0.000 0.000
0.000 7.264 0.000
0.000 0.000 7.264
Li Eu Sc Al
4 4 4 4
Direct
0.000 0.000 0.000 Li
0.000 0.500 0.500 Li
0.500 0.000 0.500 Li
0.500 0.500 0.000 Li
0.250 0.250 0.250 Eu
0.250 0.750 0.750 Eu
0.750 0.250 0.750 Eu
0.750 0.750 0.250 Eu
0.250 0.250 0.750 Sc
0.250 0.750 0.250 Sc
0.750 0.250 0.250 Sc
0.750 0.750 0.750 Sc
0.000 0.000 0.500 Al
0.000 0.500 0.000 Al
0.500 0.000 0.000 Al
0.500 0.500 0.500 Al
```

## Properties
D(E_F) in states/eV/f.u.: 5.39
ΔE_f in meV/atom: -90

=====

A relaxed structure of Cu4AgPd. Source: Alexandria via LeMat-Bulk, functional PBE-GGA.

POSCAR file:
```
Cu4AgPd
1.0
0.000 3.443 3.443
3.443 0.000 3.443
3.443 3.443 0.000
Cu Ag Pd
4 1 1
Direct
0.125 0.125 0.125 Cu
0.125 0.125 0.625 Cu
0.125 0.625 0.125 Cu
0.625 0.125 0.125 Cu
0.500 0.500 0.500 Ag
0.750 0.750 0.750 Pd
```

## Properties
D(E_F) in states/eV/f.u.: 2.57
ΔE_f in meV/atom: -1

=====

A relaxed structure of LiAlNi6. Source: Alexandria via LeMat-Bulk, functional PBE-GGA.

POSCAR file:
```
LiAlNi6
1.0
3.151 1.819 3.120
-3.151 1.819 3.120
0.000 -3.639 3.120
Li Al Ni
1 1 6
Direct
0.000 0.000 0.000 Li
0.500 0.500 0.500 Al
0.024 0.653 0.653 Ni
0.347 0.347 0.976 Ni
0.347 0.976 0.347 Ni
0.653 0.024 0.653 Ni
0.653 0.653 0.024 Ni
0.976 0.347 0.347 Ni
```

## Properties
D(E_F) in states/eV/f.u.: 12.75
Polymorph energy (0 for the lowest one) in meV/atom: 476.5
ΔE_f in meV/atom: 280

=====

A relaxed structure of Cs3HOs. Source: Alexandria via LeMat-Bulk, functional PBE-GGA.

POSCAR file:
```
Cs3HOs
1.0
5.817 0.000 0.000
0.000 5.817 0.000
0.000 0.000 5.817
Cs H Os
3 1 1
Direct
0.000 0.000 0.500 Cs
0.000 0.500 0.000 Cs
0.500 0.000 0.000 Cs
0.000 0.000 0.000 H
0.500 0.500 0.500 Os
```

## Properties
D(E_F) in states/eV/f.u.: 3.34
Polymorph energy (0 for the lowest one) in meV/atom: 0.0

=====

A relaxed structure of KVIN2. Source: Alexandria via LeMat-Bulk, functional PBE-GGA.

POSCAR file:
```
KVIN2
1.0
4.415 0.000 0.000
0.000 4.415 0.000
0.000 0.000 5.976
K V I N
1 1 1 2
Direct
0.000 0.000 0.000 K
0.500 0.500 0.500 V
0.000 0.000 0.500 I
0.000 0.500 0.000 N
0.500 0.000 0.000 N
```

## Properties
Energy relative to the elements, uncorrected in eV per atom: 2.76
D(E_F) in states/eV/f.u.: 6.98
Polymorph energy (0 for the lowest one) in meV/atom: 2490.7

=====

A relaxed structure of Na2TaGe. Source: Alexandria via LeMat-Bulk, functional PBE-GGA.

POSCAR file:
```
Na2TaGe
1.0
8.459 0.000 0.000
0.000 8.459 0.000
0.000 0.000 5.268
Na Ta Ge
8 4 4
Direct
0.214 0.750 0.125 Na
0.250 0.214 0.875 Na
0.250 0.286 0.375 Na
0.286 0.750 0.625 Na
0.714 0.250 0.625 Na
0.750 0.714 0.375 Na
0.750 0.786 0.875 Na
0.786 0.250 0.125 Na
0.000 0.000 0.500 Ta
0.000 0.500 0.750 Ta
0.500 0.000 0.250 Ta
0.500 0.500 0.000 Ta
0.000 0.000 0.000 Ge
0.000 0.500 0.250 Ge
0.500 0.000 0.750 Ge
0.500 0.500 0.500 Ge
```

## Properties
D(E_F) in states/eV/f.u.: 3.47
ΔE_f in meV/atom: 897

=====

A relaxed structure of SmDy2Y4Tm2. Source: Alexandria via LeMat-Bulk, functional PBE-GGA.

POSCAR file:
```
SmDy2Y4Tm2
1.0
9.309 -1.792 0.000
9.309 1.792 0.000
-4.136 0.000 8.574
Sm Dy Y Tm
1 2 4 2
Direct
0.000 0.000 0.000 Sm
0.149 0.149 0.668 Dy
0.851 0.851 0.332 Dy
0.186 0.186 0.333 Y
0.481 0.481 0.665 Y
0.519 0.519 0.335 Y
0.814 0.814 0.667 Y
0.332 0.332 0.000 Tm
0.668 0.668 0.000 Tm
```

## Properties
D(E_F) in states/eV/f.u.: 12.68
ΔE_f in meV/atom: 3

=====

A relaxed structure of RbLa2Ag2. Source: Alexandria via LeMat-Bulk, functional PBE-GGA.

POSCAR file:
```
RbLa2Ag2
1.0
9.374 0.000 0.000
0.000 9.374 0.000
0.000 0.000 3.610
Rb La Ag
2 4 4
Direct
0.000 0.000 0.000 Rb
0.500 0.500 0.000 Rb
0.128 0.372 0.000 La
0.372 0.872 0.000 La
0.628 0.128 0.000 La
0.872 0.628 0.000 La
0.162 0.662 0.500 Ag
0.338 0.162 0.500 Ag
0.662 0.838 0.500 Ag
0.838 0.338 0.500 Ag
```

## Properties
D(E_F) in states/eV/f.u.: 5.12
Polymorph energy (0 for the lowest one) in meV/atom: 0.0
ΔE_f in meV/atom: 37

=====

In eV for the cell shown, the electronic total energy values for the records above are, in order, -80.7, -40.1, -27.6, -104.3, -28.9, -79.8, -281.8, -69.9, -15.3, -23.8, -24.3, -23.2, -90.5, -24.4, -38.1, -12.1, -14.6, -62.1, -48.7, -32.7.